Record 1
# KIn2Te

A relaxed KIn2Te crystal (GGA-PBEsol, Alexandria).

The structure belongs to space group Imm2 (No. 44); the cell edges are 4.768, 4.955 and 10.158 Å and the angles 90.00°, 90.00° and 90.00°. The inequivalent atoms are K at (0.000, 0.000, 0.000), In at (0.000, 0.000, 0.473), In at (0.000, 0.500, 0.239) and Te at (0.000, 0.500, 0.752).

The total magnetic moment is 0.000 μB/f.u. The calculation puts the energy relative to the elements, uncorrected at -0.2507 eV/atom.



Record 2
# Mn2PS

A relaxed Mn2PS crystal (GGA-PBEsol, Alexandria).

The structure belongs to space group Fm-3m (No. 225); the cell edges are 5.531, 5.531 and 5.531 Å and the angles 90.00°, 90.00° and 90.00°. The inequivalent atoms are Mn at (0.250, 0.250, 0.250), P at (0.000, 0.000, 0.000) and S at (0.000, 0.000, 0.500).

The total magnetic moment is 0.000 μB/f.u. The calculation puts the energy relative to the elements, uncorrected at -0.2456 eV/atom.



Number 1: ρ 5.48 g/cm3. Number 2: ρ 6.79 g/cm3.